No. 1
Computed, not measured: an optimized crystal structure of BaSmO3 at the PBE level of DFT.

Values from the calculation:
Its total energy is -6.8890 eV/atom. The calculation puts the total magnetization at 1.000 μB/f.u. As for the space-group type: R-3.

abc: 6.2565 6.2565 6.6079
angles: 61.74 61.74 60.00
With the nearest neighbours (Å) after each atom.
Fractional positions:
Ba1 0.8698 0.8698 0.3905  6 O 2.62-2.75
Ba2 0.1302 0.1302 0.6095  6 O 2.62-2.75
O1 0.9553 0.5157 0.2278  2 Sm 2.30-2.35
O2 0.3012 0.9553 0.2278  2 Sm 2.30-2.35
O3 0.5157 0.3012 0.2278  2 Sm 2.30-2.35
O4 0.4843 0.6988 0.7722  2 Sm 2.30-2.35
O5 0.6988 0.0447 0.7722  2 Sm 2.30-2.35
O6 0.0447 0.4843 0.7722  2 Sm 2.30-2.35
Sm1 0.6489 0.6489 0.0532  6 O 2.30-2.35
Sm2 0.3511 0.3511 0.9468  6 O 2.30-2.35

=====

No. 2
Computed, not measured: an optimized crystal structure of NaGaTc2 at the PBE level of DFT.

Values from the calculation:
Its total energy is -5.9355 eV/atom. The calculation puts the total magnetization at 0.006 μB/f.u. As for the space-group type: F-43m.

abc: 4.4080 4.4080 4.4080
angles: 60.00 60.00 60.00
With the nearest neighbours (Å) after each atom.
Fractional positions:
Ga1 0.5000 0.5000 0.5000  4 Tc 2.70, 4 Na 2.70
Na1 0.7500 0.7500 0.7500  4 Tc 2.70, 4 Ga 2.70
Tc1 0.0000 0.0000 0.0000  4 Tc 2.70, 4 Na 2.70
Tc2 0.2500 0.2500 0.2500  4 Tc 2.70, 4 Ga 2.70

=====

No. 3
Computed, not measured: an optimized crystal structure of LiScFeSe3 at the PBE level of DFT.

Values from the calculation:
The relative energy among the computed polymorphs is 0.062 eV/atom. Its total energy is -5.5170 eV/atom. The calculation puts the total magnetization at 3.826 μB/f.u. As for the space-group type: Cmcm.

abc: 6.7151 6.7151 10.2198
angles: 90.00 90.00 32.76
With the nearest neighbours (Å) after each atom.
Fractional positions:
Fe1 0.4756 0.4756 0.2500  4 Se 2.39-2.43
Fe2 0.5244 0.5244 0.7500  4 Se 2.39-2.43
Li1 0.7746 0.7746 0.2500  6 Se 2.87-3.00, 2 Fe 3.21
Li2 0.2254 0.2254 0.7500  6 Se 2.87-3.00, 2 Fe 3.21
Sc1 0.0000 0.0000 0.0000  6 Se 2.71-2.83
Sc2 0.0000 0.0000 0.5000  6 Se 2.71-2.83
Se1 0.3596 0.3596 0.0681  1 Fe 2.39
Se2 0.0937 0.0937 0.2500  2 Fe 2.43
Se3 0.3596 0.3596 0.4319  1 Fe 2.39
Se4 0.6404 0.6404 0.5681  1 Fe 2.39
Se5 0.9063 0.9063 0.7500  2 Fe 2.43
Se6 0.6404 0.6404 0.9319  1 Fe 2.39